# 1
## YCo4Si4 (PBE)

Data for YCo4Si4 after structural relaxation.

The structure in extended XYZ format:
```
18
Lattice="4.169 0.000 0.000 0.000 7.759 0.000 0.000 0.000 7.759" Properties=species:S:1:pos:R:3 pbc="T T T"
Y 0.000 0.000 0.000
Y 2.085 3.880 3.880
Co 2.085 3.004 6.883
Co 0.000 4.756 6.884
Co 2.085 4.755 0.876
Co 4.169 0.876 4.756
Co 2.084 6.883 4.755
Co 4.169 6.884 3.003
Co 0.000 3.003 0.876
Co 2.084 0.876 3.004
Si 2.085 6.521 2.237
Si 2.085 1.239 5.522
Si 0.000 6.117 5.118
Si 4.169 2.641 6.117
Si 4.169 5.118 1.642
Si 2.085 2.237 1.239
Si 2.085 5.522 6.521
Si 0.000 1.642 2.641
```

Results
Calculated density (g/cm3): 5.8
Symmetry: I4/m, No. 87

***

# 2
## YCoSi2 (PBE)

Data for YCoSi2 after structural relaxation.

The structure in extended XYZ format:
```
4
Lattice="-2.313 -1.561 -1.137 1.577 -0.503 -2.517 2.498 -5.665 2.696" Properties=species:S:1:pos:R:3 pbc="T T T"
Co 1.506 -5.281 0.195
Si 2.340 -5.306 2.525
Si 1.407 -3.191 1.519
Y 0.256 -2.448 -1.153
```

Results
Calculated density (g/cm3): 5.5
Symmetry: P4/mmm, No. 123

***

# 3
## YCoSi2 (PBE)

Data for YCoSi2 after structural relaxation.

The structure in extended XYZ format:
```
8
Lattice="4.603 0.000 0.000 0.000 4.603 0.000 2.301 2.301 7.422" Properties=species:S:1:pos:R:3 pbc="T T T"
Y 0.000 0.000 0.000
Y 4.603 2.301 3.711
Si 2.430 1.151 1.856
Si 2.172 3.452 1.856
Si 3.452 4.474 5.567
Si 5.753 4.732 5.567
Co 2.301 2.301 0.000
Co 2.301 4.603 3.711
```

Results
Calculated density (g/cm3): 4.3
Symmetry: I-42d, No. 122

***

Values for E_tot, eV/atom, ordered as above
-6.835 -6.474 -6.465
Values for E_form (uncorrected), eV per atom, ordered as above
-0.55 -0.37 -0.36